A.
Here is an optimized crystal structure of Al3SiW from Alexandria. Energies are from PBE-GGA.

```
Al3SiW
1.0
4.858 0.000 0.000
0.000 4.858 0.000
0.000 0.000 4.858
Al Si W
3 1 1
Direct
0.000 0.000 0.500 Al
0.000 0.500 0.000 Al
0.500 0.000 0.000 Al
0.500 0.500 0.500 Si
0.000 0.000 0.000 W
```

Results
Total magnetic moment ... 0.00 μB per formula unit
Space-group type ... Pm-3m, No. 221
DOS(E_F) ... 3.1 states/eV per cell



B.
Here is an optimized crystal structure of Al3SiW from Alexandria. Energies are from PBE-GGA.

```
Al3SiW
1.0
4.573 0.000 0.000
0.000 4.573 0.000
0.000 0.000 4.573
Al Si W
3 1 1
Direct
0.000 0.000 0.500 Al
0.000 0.500 0.000 Al
0.500 0.000 0.000 Al
0.000 0.000 0.000 Si
0.500 0.500 0.500 W
```

Results
Total magnetic moment ... 0.00 μB per formula unit
Space-group type ... Pm-3m, No. 221
DOS(E_F) ... 4.3 states/eV per cell



Energetically preferred structure: A | next structure: +32.0 kJ/mol of atoms



A.
Here is an optimized crystal structure of Zr2Al2Si from Alexandria. Energies are from PBE-GGA.

```
Zr2Al2Si
1.0
6.424 0.000 0.000
0.000 8.993 0.000
0.000 0.000 3.341
Zr Al Si
4 4 2
Direct
0.153 0.201 0.000 Zr
0.347 0.701 0.000 Zr
0.653 0.299 0.000 Zr
0.847 0.799 0.000 Zr
0.180 0.934 0.500 Al
0.320 0.434 0.500 Al
0.680 0.566 0.500 Al
0.820 0.066 0.500 Al
0.000 0.500 0.000 Si
0.500 0.000 0.000 Si
```

Results
Total magnetic moment ... 0.00 μB per formula unit
Space-group type ... Pbam, No. 55
DOS(E_F) ... 5.7 states/eV per cell



B.
Here is an optimized crystal structure of Zr2Al2Si from Alexandria. Energies are from PBE-GGA.

```
Zr2Al2Si
1.0
4.421 0.000 0.000
-2.210 3.828 0.000
0.000 0.000 6.297
Zr Al Si
2 2 1
Direct
0.333 0.667 0.140 Zr
0.667 0.333 0.860 Zr
0.333 0.667 0.600 Al
0.667 0.333 0.400 Al
0.000 0.000 0.000 Si
```

Results
Total magnetic moment ... 0.00 μB per formula unit
Space-group type ... P-3m1, No. 164
DOS(E_F) ... 2.7 states/eV per cell



Energetically preferred structure: A | next structure: +14.0 kJ/mol of atoms



A.
Here is an optimized crystal structure of Zr3AlSi2 from Alexandria. Energies are from PBE-GGA.

```
Zr3AlSi2
1.0
6.486 0.000 0.000
-3.243 5.617 0.000
0.000 0.000 3.800
Zr Al Si
3 1 2
Direct
0.000 0.500 0.000 Zr
0.500 0.000 0.000 Zr
0.500 0.500 0.000 Zr
0.000 0.000 0.500 Al
0.333 0.667 0.500 Si
0.667 0.333 0.500 Si
```

Results
Total magnetic moment ... 0.00 μB per formula unit
Space-group type ... P6/mmm, No. 191
DOS(E_F) ... 4.2 states/eV per cell



B.
Here is an optimized crystal structure of Zr3AlSi2 from Alexandria. Energies are from PBE-GGA.

```
Zr3AlSi2
1.0
6.173 0.000 0.000
-3.087 5.346 0.000
0.000 0.000 6.954
Zr Al Si
6 2 4
Direct
0.169 0.338 0.188 Zr
0.169 0.831 0.188 Zr
0.338 0.169 0.812 Zr
0.662 0.831 0.188 Zr
0.831 0.169 0.812 Zr
0.831 0.662 0.812 Zr
0.333 0.667 0.836 Al
0.667 0.333 0.164 Al
0.000 0.000 0.500 Si
0.000 0.500 0.500 Si
0.500 0.000 0.500 Si
0.500 0.500 0.500 Si
```

Results
Total magnetic moment ... 0.00 μB per formula unit
Space-group type ... P-3m1, No. 164
DOS(E_F) ... 9.2 states/eV per cell



Energetically preferred structure: B | next structure: +23.4 kJ/mol of atoms



A.
Here is an optimized crystal structure of ZrAl3Si from Alexandria. Energies are from PBE-GGA.

```
ZrAl3Si
1.0
6.530 0.000 0.000
0.000 6.530 0.000
0.000 0.000 6.530
Zr Al Si
3 9 3
Direct
0.000 0.000 0.500 Zr
0.000 0.500 0.000 Zr
0.500 0.000 0.000 Zr
0.270 0.270 0.270 Al
0.270 0.270 0.730 Al
0.270 0.730 0.270 Al
0.270 0.730 0.730 Al
0.500 0.500 0.500 Al
0.730 0.270 0.270 Al
0.730 0.270 0.730 Al
0.730 0.730 0.270 Al
0.730 0.730 0.730 Al
0.000 0.500 0.500 Si
0.500 0.000 0.500 Si
0.500 0.500 0.000 Si
```

Results
Total magnetic moment ... 0.00 μB per formula unit
Space-group type ... Pm-3m, No. 221
DOS(E_F) ... 13.3 states/eV per cell



B.
Here is an optimized crystal structure of ZrAl3Si from Alexandria. Energies are from PBE-GGA.

```
ZrAl3Si
1.0
5.189 0.000 0.000
0.000 5.189 0.000
0.000 0.000 5.189
Zr Al Si
1 3 1
Direct
0.000 0.000 0.000 Zr
0.000 0.000 0.500 Al
0.000 0.500 0.000 Al
0.500 0.000 0.000 Al
0.500 0.500 0.500 Si
```

Results
Total magnetic moment ... 0.00 μB per formula unit
Space-group type ... Pm-3m, No. 221
DOS(E_F) ... 4.2 states/eV per cell



Energetically preferred structure: A | next structure: +102.0 kJ/mol of atoms